<A>
Ba2LiCd2: optimized geometry, PBE.

Geometry as POSCAR:
```
Ba2LiCd2
1.0
-2.2215 2.2215 10.1505
2.2215 -2.2215 10.1505
2.2215 2.2215 -10.1505
Ba Li Cd
2 1 2
Direct
0.1095 0.1095 0.0000
0.8905 0.8905 0.0000
0.5000 0.5000 0.0000
0.2500 0.7500 0.5000
0.7500 0.2500 0.5000
```

## Properties
Crystal system   tetragonal
SG   No. 139
Magnetic moment   0.0 μB per formula unit


<B>
Ba2LiCd2: optimized geometry, PBE.

Geometry as POSCAR:
```
Ba2LiCd2
1.0
-3.4076 3.4076 4.3674
3.4076 -3.4076 4.3674
3.4076 3.4076 -4.3674
Ba Li Cd
2 1 2
Direct
0.2500 0.7500 0.5000
0.7500 0.2500 0.5000
0.0000 0.0000 0.0000
0.3410 0.3410 0.0000
0.6590 0.6590 0.0000
```

## Properties
Crystal system   tetragonal
SG   No. 139
Magnetic moment   0.0 μB per formula unit


Which is the most stable structure? <B> is the most stable.


<A>
Ba8Li2Cd: optimized geometry, PBE.

Geometry as POSCAR:
```
Ba8Li2Cd
1.0
-3.1342 5.3567 8.2161
3.1342 -5.3567 8.2161
3.1342 5.3567 -8.2161
Ba Li Cd
8 2 1
Direct
0.1232 0.3469 0.7762
0.1263 0.1263 0.0000
0.3275 0.0000 0.3275
0.4293 0.6531 0.7762
0.5707 0.3469 0.2238
0.6725 0.0000 0.6725
0.8737 0.8737 0.0000
0.8768 0.6531 0.2238
0.2990 0.7990 0.5000
0.7010 0.2010 0.5000
0.0000 0.5000 0.5000
```

## Properties
Crystal system   orthorhombic
SG   No. 71
Magnetic moment   0.0 μB per formula unit


<B>
Ba8Li2Cd: optimized geometry, PBE.

Geometry as POSCAR:
```
Ba8Li2Cd
1.0
10.9220 -3.1353 0.0000
10.9220 3.1353 0.0000
-2.6429 0.0000 8.1272
Ba Li Cd
8 2 1
Direct
0.0268 0.0268 0.2944
0.2015 0.2015 0.8095
0.3384 0.3384 0.5303
0.4089 0.4089 0.0654
0.5911 0.5911 0.9346
0.6616 0.6616 0.4697
0.7985 0.7985 0.1905
0.9732 0.9732 0.7056
0.1812 0.1812 0.2116
0.8188 0.8188 0.7884
0.5000 0.5000 0.5000
```

## Properties
Crystal system   monoclinic
SG   No. 12
Magnetic moment   0.0 μB per formula unit


Which is the most stable structure? <B> is the most stable.


<A>
Ba3LiCd: optimized geometry, PBE.

Geometry as POSCAR:
```
Ba3LiCd
1.0
6.7055 0.0000 0.0000
0.0000 6.7055 0.0000
0.0000 0.0000 6.7055
Ba Li Cd
3 1 1
Direct
0.0000 0.0000 0.5000
0.0000 0.5000 0.0000
0.5000 0.0000 0.0000
0.5000 0.5000 0.5000
0.0000 0.0000 0.0000
```

## Properties
Crystal system   cubic
SG   No. 221
Magnetic moment   0.0 μB per formula unit


<B>
Ba3LiCd: optimized geometry, PBE.

Geometry as POSCAR:
```
Ba3LiCd
1.0
3.0513 -12.0376 0.0000
3.0513 12.0376 0.0000
0.0000 0.0000 6.0942
Ba Li Cd
6 2 2
Direct
0.0724 0.9276 0.7500
0.2496 0.7504 0.7500
0.4274 0.5726 0.7500
0.5726 0.4274 0.2500
0.7504 0.2496 0.2500
0.9276 0.0724 0.2500
0.3413 0.6587 0.2500
0.6587 0.3413 0.7500
0.1582 0.8418 0.2500
0.8418 0.1582 0.7500
```

## Properties
Crystal system   orthorhombic
SG   No. 63
Magnetic moment   0.0 μB per formula unit


Which is the most stable structure? <B> is the most stable.


<A>
Ba2LiCdP: optimized geometry, PBE.

Geometry as POSCAR:
```
Ba2LiCdP
1.0
6.2947 0.0000 0.0000
0.0000 6.2947 0.0000
0.0000 0.0000 5.1447
Ba Li Cd P
2 1 1 1
Direct
0.0000 0.5000 0.0000
0.5000 0.0000 0.0000
0.0000 0.0000 0.5000
0.5000 0.5000 0.5000
0.5000 0.5000 0.0000
```

## Properties
Crystal system   tetragonal
SG   No. 123
Magnetic moment   0.0 μB per formula unit


<B>
Ba2LiCdP: optimized geometry, PBE.

Geometry as POSCAR:
```
Ba2LiCdP
1.0
6.3175 0.0000 0.0000
0.0000 6.3175 0.0000
0.0000 0.0000 4.7209
Ba Li Cd P
2 1 1 1
Direct
0.0000 0.5000 0.0000
0.5000 0.0000 0.0000
0.0000 0.0000 0.5000
0.5000 0.5000 0.5000
0.0000 0.0000 0.0000
```

## Properties
Crystal system   tetragonal
SG   No. 123
Magnetic moment   0.0 μB per formula unit


Which is the most stable structure? <B> is the most stable.


<A>
Ba2LiCdPd: optimized geometry, PBE.

Geometry as POSCAR:
```
Ba2LiCdPd
1.0
6.1501 0.0000 0.0000
0.0000 6.1501 0.0000
0.0000 0.0000 5.3434
Ba Li Cd Pd
2 1 1 1
Direct
0.0000 0.5000 0.0000
0.5000 0.0000 0.0000
0.0000 0.0000 0.5000
0.5000 0.5000 0.5000
0.5000 0.5000 0.0000
```

## Properties
Crystal system   tetragonal
SG   No. 123
Magnetic moment   0.0 μB per formula unit


<B>
Ba2LiCdPd: optimized geometry, PBE.

Geometry as POSCAR:
```
Ba2LiCdPd
1.0
6.1651 0.0000 0.0000
0.0000 6.1651 0.0000
0.0000 0.0000 4.9423
Ba Li Cd Pd
2 1 1 1
Direct
0.0000 0.5000 0.0000
0.5000 0.0000 0.0000
0.0000 0.0000 0.5000
0.5000 0.5000 0.5000
0.0000 0.0000 0.0000
```

## Properties
Crystal system   tetragonal
SG   No. 123
Magnetic moment   0.0 μB per formula unit


Which is the most stable structure? <B> is the most stable.


<A>
BaLiCd2Pd: optimized geometry, PBE.

Geometry as POSCAR:
```
BaLiCd2Pd
1.0
6.8987 -2.2273 0.0000
6.8987 2.2273 0.0000
-1.4276 0.0000 4.2221
Ba Li Cd Pd
1 1 2 1
Direct
0.0000 0.0000 0.0000
0.7792 0.7792 0.2791
0.2752 0.2752 0.7762
0.6257 0.6257 0.6245
0.4092 0.4092 0.4097
```

## Properties
Crystal system   monoclinic
SG   No. 8
Magnetic moment   0.0 μB per formula unit


<B>
BaLiCd2Pd: optimized geometry, PBE.

Geometry as POSCAR:
```
BaLiCd2Pd
1.0
5.3328 0.0000 0.0000
0.0000 5.3328 0.0000
0.0000 0.0000 4.9382
Ba Li Cd Pd
1 1 2 1
Direct
0.0000 0.0000 0.0000
0.5000 0.5000 0.0000
0.0000 0.5000 0.5000
0.5000 0.0000 0.5000
0.5000 0.5000 0.5000
```

## Properties
Crystal system   tetragonal
SG   No. 123
Magnetic moment   0.0 μB per formula unit


Which is the most stable structure? <A> is the most stable.


<A>
Ba2SrLiCd: optimized geometry, PBE.

Geometry as POSCAR:
```
Ba2SrLiCd
1.0
6.8133 0.0000 0.0000
0.0000 6.8133 0.0000
0.0000 0.0000 5.3453
Ba Sr Li Cd
2 1 1 1
Direct
0.0000 0.5000 0.0000
0.5000 0.0000 0.0000
0.0000 0.0000 0.5000
0.5000 0.5000 0.5000
0.5000 0.5000 0.0000
```

## Properties
Crystal system   tetragonal
SG   No. 123
Magnetic moment   0.0 μB per formula unit


<B>
Ba2SrLiCd: optimized geometry, PBE.

Geometry as POSCAR:
```
Ba2SrLiCd
1.0
6.5890 0.0000 0.0000
0.0000 6.5890 0.0000
0.0000 0.0000 5.1953
Ba Sr Li Cd
2 1 1 1
Direct
0.0000 0.5000 0.0000
0.5000 0.0000 0.0000
0.0000 0.0000 0.5000
0.5000 0.5000 0.0000
0.5000 0.5000 0.5000
```

## Properties
Crystal system   tetragonal
SG   No. 123
Magnetic moment   0.0 μB per formula unit


Which is the most stable structure? <A> is the most stable.


<A>
BaLi2ZnCd: optimized geometry, PBE.

Geometry as POSCAR:
```
BaLi2ZnCd
1.0
5.2051 0.0000 0.0000
0.0000 5.2051 0.0000
0.0000 0.0000 5.1362
Ba Li Zn Cd
1 2 1 1
Direct
0.0000 0.0000 0.0000
0.0000 0.5000 0.5000
0.5000 0.0000 0.5000
0.5000 0.5000 0.5000
0.5000 0.5000 0.0000
```

## Properties
Crystal system   tetragonal
SG   No. 123
Magnetic moment   0.0 μB per formula unit


<B>
BaLi2ZnCd: optimized geometry, PBE.

Geometry as POSCAR:
```
BaLi2ZnCd
1.0
5.2629 0.0000 0.0000
0.0000 5.2629 0.0000
0.0000 0.0000 5.1170
Ba Li Zn Cd
1 2 1 1
Direct
0.0000 0.0000 0.0000
0.0000 0.5000 0.5000
0.5000 0.0000 0.5000
0.5000 0.5000 0.0000
0.5000 0.5000 0.5000
```

## Properties
Crystal system   tetragonal
SG   No. 123
Magnetic moment   0.0 μB per formula unit


Which is the most stable structure? <A> is the most stable.


<A>
Ba2Mg2Cd: optimized geometry, PBE.

Geometry as POSCAR:
```
Ba2Mg2Cd
1.0
6.2372 -2.6974 0.0000
6.2372 2.6974 0.0000
-6.2120 0.0000 11.3127
Ba Mg Cd
4 4 2
Direct
0.0126 0.0126 0.3359
0.2002 0.2002 0.1156
0.7998 0.7998 0.8844
0.9874 0.9874 0.6641
0.3515 0.3515 0.4476
0.4993 0.4993 0.8806
0.5007 0.5007 0.1194
0.6485 0.6485 0.5524
0.2731 0.2731 0.6460
0.7269 0.7269 0.3540
```

## Properties
Crystal system   monoclinic
SG   No. 12
Magnetic moment   0.0 μB per formula unit


<B>
Ba2Mg2Cd: optimized geometry, PBE.

Geometry as POSCAR:
```
Ba2Mg2Cd
1.0
6.1115 -3.8026 0.0000
6.1115 3.8026 0.0000
-2.8908 0.0000 7.9836
Ba Mg Cd
4 4 2
Direct
0.0933 0.2501 0.1523
0.2501 0.0933 0.6523
0.7499 0.9067 0.3477
0.9067 0.7499 0.8477
0.2946 0.5433 0.5512
0.4567 0.7054 0.9488
0.5433 0.2946 0.0512
0.7054 0.4567 0.4488
0.2940 0.7060 0.2500
0.7060 0.2940 0.7500
```

## Properties
Crystal system   monoclinic
SG   No. 15
Magnetic moment   0.0 μB per formula unit


<C>
Ba2Mg2Cd: optimized geometry, PBE.

Geometry as POSCAR:
```
Ba2Mg2Cd
1.0
-3.4658 3.4658 4.2568
3.4658 -3.4658 4.2568
3.4658 3.4658 -4.2568
Ba Mg Cd
2 2 1
Direct
0.2500 0.7500 0.5000
0.7500 0.2500 0.5000
0.1631 0.1631 0.0000
0.8369 0.8369 0.0000
0.5000 0.5000 0.0000
```

## Properties
Crystal system   tetragonal
SG   No. 139
Magnetic moment   0.0 μB per formula unit


Which is the most stable structure? <B> is the most stable.


<A>
Ba2Mg2Cd: optimized geometry, PBE.

Geometry as POSCAR:
```
Ba2Mg2Cd
1.0
-2.1564 2.1564 10.5559
2.1564 -2.1564 10.5559
2.1564 2.1564 -10.5559
Ba Mg Cd
2 2 1
Direct
0.0982 0.0982 0.0000
0.9018 0.9018 0.0000
0.2500 0.7500 0.5000
0.7500 0.2500 0.5000
0.5000 0.5000 0.0000
```

## Properties
Crystal system   tetragonal
SG   No. 139
Magnetic moment   0.0 μB per formula unit


<B>
Ba2Mg2Cd: optimized geometry, PBE.

Geometry as POSCAR:
```
Ba2Mg2Cd
1.0
8.0033 0.0000 0.0000
0.0000 8.0033 0.0000
0.0000 0.0000 5.7550
Ba Mg Cd
4 4 2
Direct
0.1784 0.3216 0.0000
0.3216 0.8216 0.0000
0.6784 0.1784 0.0000
0.8216 0.6784 0.0000
0.1341 0.6341 0.5000
0.3659 0.1341 0.5000
0.6341 0.8659 0.5000
0.8659 0.3659 0.5000
0.0000 0.0000 0.5000
0.5000 0.5000 0.5000
```

## Properties
Crystal system   tetragonal
SG   No. 127
Magnetic moment   0.0 μB per formula unit


Which is the most stable structure? <B> is the most stable.


<A>
BaMg6Cd6: optimized geometry, PBE.

Geometry as POSCAR:
```
BaMg6Cd6
1.0
-3.0276 5.0486 5.1810
3.0276 -5.0486 5.1810
3.0276 5.0486 -5.1810
Ba Mg Cd
1 6 6
Direct
0.0000 0.0000 0.0000
0.0000 0.0000 0.5000
0.0000 0.5000 0.0000
0.2287 0.5000 0.7287
0.5000 0.0000 0.0000
0.5000 0.5000 0.5000
0.7713 0.5000 0.2713
0.2119 0.7119 0.5000
0.3514 0.0000 0.3514
0.3535 0.3535 0.0000
0.6465 0.6465 0.0000
0.6486 0.0000 0.6486
0.7881 0.2881 0.5000
```

## Properties
Crystal system   orthorhombic
SG   No. 71
Magnetic moment   0.0 μB per formula unit


<B>
BaMg6Cd6: optimized geometry, PBE.

Geometry as POSCAR:
```
BaMg6Cd6
1.0
-2.9672 5.1309 5.1838
2.9672 -5.1309 5.1838
2.9672 5.1309 -5.1838
Ba Mg Cd
1 6 6
Direct
0.0000 0.0000 0.0000
0.2176 0.7176 0.5000
0.3554 0.0000 0.3554
0.3554 0.3554 0.0000
0.6446 0.0000 0.6446
0.6446 0.6446 0.0000
0.7824 0.2824 0.5000
0.0000 0.0000 0.5000
0.0000 0.5000 0.0000
0.2209 0.5000 0.7209
0.5000 0.0000 0.0000
0.5000 0.5000 0.5000
0.7791 0.5000 0.2791
```

## Properties
Crystal system   orthorhombic
SG   No. 71
Magnetic moment   0.0 μB per formula unit


Which is the most stable structure? <B> is the most stable.


<A>
Ba4Mg3Cd: optimized geometry, PBE.

Geometry as POSCAR:
```
Ba4Mg3Cd
1.0
4.5998 0.0000 0.0000
0.0000 5.5643 0.0000
0.0000 0.0000 13.4173
Ba Mg Cd
4 3 1
Direct
0.0000 0.0000 0.0000
0.0000 0.5000 0.2876
0.5000 0.0000 0.4868
0.5000 0.5000 0.7930
0.0000 0.0000 0.7027
0.0000 0.5000 0.5777
0.5000 0.5000 0.0805
0.5000 0.0000 0.2052
```

## Properties
Crystal system   orthorhombic
SG   No. 25
Magnetic moment   0.0 μB per formula unit


<B>
Ba4Mg3Cd: optimized geometry, PBE.

Geometry as POSCAR:
```
Ba4Mg3Cd
1.0
4.3144 0.0000 0.0000
0.0000 4.3144 0.0000
0.0000 0.0000 17.5273
Ba Mg Cd
4 3 1
Direct
0.0000 0.0000 0.1193
0.0000 0.0000 0.3738
0.0000 0.0000 0.6262
0.0000 0.0000 0.8807
0.5000 0.5000 0.2486
0.5000 0.5000 0.5000
0.5000 0.5000 0.7514
0.5000 0.5000 0.0000
```

## Properties
Crystal system   tetragonal
SG   No. 123
Magnetic moment   0.0 μB per formula unit


Which is the most stable structure? <B> is the most stable.